This record from Alexandria describes an optimized crystal structure of TbCoNiGe2. The functional is PBE.

Cell lengths 4.0240, 4.0240, 5.7586 Å; angles 110.45, 110.45, 90.00 degrees
Sites, in units of the cell vectors:
Ge1 0.3725 0.3725 0.7450
Ge2 0.6275 0.6275 0.2550
Ni1 0.2500 0.7500 0.5000
Tb1 0.0000 0.0000 0.0000
Co1 0.7500 0.2500 0.5000

Summary:
energy relative to the elements = -0.64 eV/atom
magnetization = 1.2 μB per formula unit
space group = I-4m2, No. 119

---

This record from Alexandria describes an optimized crystal structure of Cs3U2CdTe6. The functional is PBE.

Cell lengths 7.9666, 7.9666, 9.2660 Å; angles 98.19, 98.19, 120.04 degrees
Sites, in units of the cell vectors:
Cs1 0.8361 0.1639 0.5000
Te1 0.2732 0.2732 0.8138
Cd1 0.0000 0.0000 0.0000
Te2 0.0629 0.4001 0.1887
Te3 0.7268 0.7268 0.1862
Cs2 0.5000 0.5000 0.5000
U1 0.6672 0.3328 0.0000
Te4 0.9371 0.5999 0.8113
Te5 0.4001 0.0629 0.1887
U2 0.3328 0.6672 0.0000
Te6 0.5999 0.9371 0.8113
Cs3 0.1639 0.8361 0.5000

Summary:
ΔE_f (raw) = -0.7829 eV per atom
magnetization = 5.0 μB per formula unit
space group = C2/m, No. 12